No. 1
# K2AlAs

A relaxed K2AlAs crystal (PBE-GGA, Alexandria).

Results
For the formation energy, the calculation gives 363 meV/atom. As for the total moment: 1.49 Bohr magnetons per cell. For the final energy, the calculation gives -18.3 eV for the cell shown. The crystal system is tetragonal. Its space-group type is I-42d. The value obtained for the polymorph energy (0 for the lowest one) is 60.64 kJ per mole of atoms.

a b c (Å): 4.6089 4.6089 12.0715
angles (deg): 78.99 78.99 90.00
Site moments in Bohr magnetons follow the coordinates.
Atoms (fractional coordinates):
As: 0.0000 0.0000 0.0000  0.03
As: 0.7500 0.2500 0.5000  0.03
K: 0.6380 0.1250 0.2500  0.03
K: 0.1120 0.6250 0.2500  0.03
K: 0.3750 0.3620 0.7500  0.03
K: 0.8750 0.8880 0.7500  0.03
Al: 0.5000 0.5000 0.0000  0.07
Al: 0.2500 0.7500 0.5000  0.07

No. 2
# Y8Te4PtS3

A relaxed Y8Te4PtS3 crystal (PBE-GGA, Alexandria).

Results
As for the total moment: 0.00 Bohr magnetons per cell. For the final energy, the calculation gives -107.9 eV for the cell shown. The crystal system is trigonal. Its space-group type is R-3m. Its energy relative to the elements, uncorrected is -1.575 eV per atom.

a b c (Å): 8.2764 8.4693 8.2764
angles (deg): 119.25 120.00 90.00
Atoms (fractional coordinates):
Y: 0.2363 0.7117 0.9754
Y: 0.2363 0.7116 0.4725
Y: 0.2647 0.2942 0.5294
Y: 0.7392 0.7117 0.9754
Y: 0.2608 0.2883 0.0246
Y: 0.7353 0.7058 0.4706
Y: 0.7637 0.2884 0.5275
Y: 0.7637 0.2883 0.0246
Te: 0.5000 0.0000 0.0000
Te: 0.5000 0.0000 0.5000
Te: 0.0000 0.0000 0.0000
Te: 0.0000 0.0000 0.5000
Pt: 0.0000 0.5000 0.0000
S: 0.5000 0.5000 0.0000
S: 0.5000 0.5000 0.5000
S: 0.0000 0.5000 0.5000

No. 3
# Pu3SeS2

A relaxed Pu3SeS2 crystal (PBE-GGA, Alexandria).

Results
As for the total moment: 13.05 Bohr magnetons per cell. For the final energy, the calculation gives -124.4 eV for the cell shown. The crystal system is orthorhombic. Its space-group type is Cmcm. Its energy relative to the elements, uncorrected is -1.241 eV per atom. The value obtained for the polymorph energy (0 for the lowest one) is 41.29 kJ per mole of atoms.

a b c (Å): 4.1273 6.9837 10.5268
angles (deg): 90.00 90.00 107.19
Site moments in Bohr magnetons follow the coordinates.
Atoms (fractional coordinates):
Pu: 0.6460 0.2920 0.0515  5.47
Pu: 0.0900 0.1800 0.7500  -5.07
Pu: 0.6460 0.2920 0.4485  5.47
Pu: 0.9100 0.8200 0.2500  -5.07
Pu: 0.3540 0.7080 0.9485  5.47
Pu: 0.3540 0.7080 0.5515  5.47
Se: 0.2517 0.5034 0.2500  -0.03
Se: 0.7483 0.4966 0.7500  -0.03
S: 0.0000 0.0000 0.0000  -0.04
S: 0.0000 0.0000 0.5000  -0.04
S: 0.5297 0.0594 0.2500  0.00
S: 0.4703 0.9406 0.7500  0.00

No. 4
# Mn2B2W

A relaxed Mn2B2W crystal (PBE-GGA, Alexandria).

Results
For the formation energy, the calculation gives 228 meV/atom. As for the total moment: 1.42 Bohr magnetons per cell. For the final energy, the calculation gives -43.5 eV for the cell shown. The crystal system is tetragonal. Its space-group type is I4/mmm. The value obtained for the polymorph energy (0 for the lowest one) is 44.47 kJ per mole of atoms.

a b c (Å): 3.7461 3.7461 4.4909
angles (deg): 65.35 65.35 90.00
Site moments in Bohr magnetons follow the coordinates.
Atoms (fractional coordinates):
B: 0.7500 0.2500 0.5000  -0.01
B: 0.2500 0.7500 0.5000  -0.01
Mn: 0.3539 0.3539 0.2922  0.70
Mn: 0.6461 0.6461 0.7078  0.70
W: 0.0000 0.0000 0.0000  0.01

Question: The lowest total moment belongs to which entry?
Answer: Y8Te4PtS3